No. 1
The following is a GGA-PBE calculation of a geometry-optimized Dy2GaCu2 structure, from the Alexandria database.

As for the energy relative to the elements: -0.3744 eV/atom. The density of states at the Fermi level comes out at 0.983 states/eV/atom. The size of the total moment comes out at 0.00 μB per formula unit.

The space group is C2/m (No. 12) and the conventional cell measures 10.320, 4.236 and 10.481 Å, with angles of 90.00, 117.60 and 90.00 degrees. The asymmetric unit holds Dy at (0.017, 0.000, 0.341), Dy at (0.195, 0.000, 0.109), Ga at (0.226, 0.500, 0.347), Cu at (0.014, 0.500, 0.887) and Cu at (0.140, 0.500, 0.564).

No. 2
The following is a GGA-PBE calculation of a geometry-optimized TlFeMo structure, from the Alexandria database.

As for the energy relative to the elements: 0.6346 eV/atom. The density of states at the Fermi level comes out at 0.862 states/eV/atom. As for the energy above the most stable polymorph in this dataset: 132 meV per atom. The size of the total moment comes out at 2.05 μB per formula unit.

The space group is P3m1 (No. 156) and the conventional cell measures 3.0454, 3.0454 and 6.5836 Å, with angles of 90.00, 90.00 and 120.00 degrees. The asymmetric unit holds Tl at (0.0000, 0.0000, 0.0000), Fe at (0.6667, 0.3333, 0.3552) and Mo at (0.3333, 0.6667, 0.6189).

No. 3
The following is a GGA-PBE calculation of a geometry-optimized LaAg13 structure, from the Alexandria database.

As for the energy relative to the elements: 0.0063 eV/atom. The density of states at the Fermi level comes out at 0.437 states/eV/atom. The size of the total moment comes out at 0.00 μB per formula unit.

The space group is Fm-3c (No. 226) and the conventional cell measures 13.174, 13.174 and 13.174 Å, with angles of 90.00, 90.00 and 90.00 degrees. The asymmetric unit holds La at (0.250, 0.250, 0.250), Ag at (0.000, 0.000, 0.000) and Ag at (0.000, 0.119, 0.181).